(1)
Density functional theory data (GGA-PBE) for an optimized crystal structure of Al2Te3.

Lattice parameters (Å, degrees): 7.5625 7.5625 7.5625 55.65 55.65 55.65
Closest atoms and distances in Å follow each position.
Positions (direct):
1 Al 0.1517 0.1517 0.1517  6 Te 2.79-2.85
2 Al 0.3483 0.3483 0.3483  6 Te 2.79-2.85
3 Al 0.6517 0.6517 0.6517  6 Te 2.79-2.85
4 Al 0.8483 0.8483 0.8483  6 Te 2.79-2.85
5 Te 0.0543 0.7500 0.4457  4 Al 2.79-2.85
6 Te 0.2500 0.5543 0.9457  4 Al 2.79-2.85
7 Te 0.4457 0.0543 0.7500  4 Al 2.79-2.85
8 Te 0.5543 0.9457 0.2500  4 Al 2.79-2.85
9 Te 0.7500 0.4457 0.0543  4 Al 2.79-2.85
10 Te 0.9457 0.2500 0.5543  4 Al 2.79-2.85

Results
- E_form (uncorrected) (eV per atom) = -0.3432

***

(2)
Density functional theory data (GGA-PBE) for an optimized crystal structure of TlGeAu2.

Lattice parameters (Å, degrees): 4.9341 4.9341 4.9341 60.00 60.00 60.00
Closest atoms and distances in Å follow each position.
Positions (direct):
1 Tl 0.0000 0.0000 0.0000  8 Au 3.02
2 Ge 0.5000 0.5000 0.5000  8 Au 3.02
3 Au 0.2500 0.2500 0.2500  4 Ge 3.02, 4 Tl 3.02
4 Au 0.7500 0.7500 0.7500  4 Ge 3.02, 4 Tl 3.02

Results
- ΔE_f (meV/atom) = 171
- energy above the lowest structure with this stoichiometry (meV/atom) = 184

***

(3)
Density functional theory data (GGA-PBE) for an optimized crystal structure of KAgGeRh.

Lattice parameters (Å, degrees): 4.0366 4.0366 12.4842 90.00 90.00 90.00
Closest atoms and distances in Å follow each position.
Positions (direct):
1 K 0.2500 0.2500 0.2387  4 Ge 3.41, 4 Ag 3.60
2 K 0.7500 0.7500 0.7613  4 Ge 3.41, 4 Ag 3.60
3 Ag 0.2500 0.7500 0.0000  4 Ag 2.85
4 Ag 0.7500 0.2500 0.0000  4 Ag 2.85
5 Ge 0.2500 0.2500 0.6116  4 Rh 2.45
6 Ge 0.7500 0.7500 0.3884  4 Rh 2.45
7 Rh 0.2500 0.7500 0.5000  4 Ge 2.45
8 Rh 0.7500 0.2500 0.5000  4 Ge 2.45

Results
- ΔE_f (meV/atom) = -241

***

(4)
Density functional theory data (GGA-PBE) for an optimized crystal structure of KNa7Hg5.

Lattice parameters (Å, degrees): 8.4587 8.4587 8.4587 136.52 97.13 98.64
Closest atoms and distances in Å follow each position.
Positions (direct):
1 K 0.0000 0.0000 0.0000  8 Na 3.60-3.91, 2 Hg 3.89
2 Na 0.2048 0.4976 0.7072  5 Hg 3.17-3.29, 3 Na 3.47-3.51
3 Na 0.3258 0.9789 0.3469  5 Hg 3.27-3.44, 4 Na 3.43-3.58
4 Na 0.3267 0.3267 0.0000  6 Hg 3.38-3.39, 3 Na 3.52-3.78, 1 K 3.60
5 Na 0.6320 0.9789 0.6531  5 Hg 3.27-3.44, 4 Na 3.43-3.58
6 Na 0.6456 0.6456 0.0000  4 Hg 3.34, 5 Na 3.39-3.66
7 Na 0.7636 0.2636 0.5000  4 Hg 3.15, 4 Na 3.39-3.47
8 Na 0.7905 0.4976 0.2928  5 Hg 3.17-3.29, 3 Na 3.47-3.51
9 Hg 0.2088 0.7088 0.5000  6 Na 3.29-3.44, 4 Hg 3.29
10 Hg 0.4972 0.4883 0.5020  3 Hg 3.09-3.29, 7 Na 3.15-3.44
11 Hg 0.4972 0.9952 0.0090  3 Hg 3.09-3.29, 7 Na 3.15-3.44
12 Hg 0.9862 0.4883 0.9910  3 Hg 3.09-3.29, 7 Na 3.15-3.44
13 Hg 0.9862 0.9952 0.4980  3 Hg 3.09-3.29, 7 Na 3.15-3.44

Results
- ΔE_f (meV/atom) = -187

***

(5)
Density functional theory data (GGA-PBE) for an optimized crystal structure of TaNb2Se4.

Lattice parameters (Å, degrees): 7.2826 7.2826 6.4205 113.77 113.77 27.12
Closest atoms and distances in Å follow each position.
Positions (direct):
1 Ta 0.0000 0.0000 0.0000  6 Se 2.60-2.65
2 Nb 0.2563 0.2563 0.3269  6 Se 2.59-2.88, 2 Nb 2.87
3 Nb 0.7437 0.7437 0.6731  6 Se 2.59-2.88, 2 Nb 2.87
4 Se 0.1008 0.1008 0.4427  3 Nb 2.59-2.60, 1 Ta 2.60
5 Se 0.3635 0.3635 0.0318  2 Ta 2.65, 3 Nb 2.80-2.88
6 Se 0.6365 0.6365 0.9682  2 Ta 2.65, 3 Nb 2.80-2.88
7 Se 0.8992 0.8992 0.5573  3 Nb 2.59-2.60, 1 Ta 2.60

Results
- E_form (uncorrected) (eV per atom) = -0.7468

***

(6)
Density functional theory data (GGA-PBE) for an optimized crystal structure of Ba2AgGeRh.

Lattice parameters (Å, degrees): 6.0863 6.0863 4.7117 90.00 90.00 90.00
Closest atoms and distances in Å follow each position.
Positions (direct):
1 Ba 0.0000 0.5000 0.0000  2 Rh 3.04
2 Ba 0.5000 0.0000 0.0000  2 Rh 3.04
3 Ag 0.0000 0.0000 0.5000  8 Ba 3.85, 4 Ge 4.30
4 Ge 0.5000 0.5000 0.5000  2 Rh 2.36
5 Rh 0.5000 0.5000 0.0000  2 Ge 2.36

Results
- ΔE_f (meV/atom) = -302
- energy above the lowest structure with this stoichiometry (meV/atom) = 116

***

(7)
Density functional theory data (GGA-PBE) for an optimized crystal structure of CsZnSb3.

Lattice parameters (Å, degrees): 5.8004 6.8631 9.5915 90.02 90.01 90.02
Closest atoms and distances in Å follow each position.
Positions (direct):
1 Cs 0.0000 0.0000 0.0000  7 Sb 3.81-4.16
2 Cs 0.5001 0.5002 0.1832  7 Sb 3.81-4.16
3 Zn 0.3151 0.9994 0.5440  5 Sb 2.72-2.79
4 Zn 0.8155 0.4975 0.6391  5 Sb 2.72-2.79
5 Sb 0.1356 0.4998 0.8465  1 Zn 2.72, 2 Sb 2.87
6 Sb 0.4908 0.2418 0.7491  2 Zn 2.77-2.78, 1 Sb 2.87
7 Sb 0.4919 0.7559 0.7483  2 Zn 2.77-2.79, 1 Sb 2.87
8 Sb 0.6351 0.9998 0.3366  1 Zn 2.72, 2 Sb 2.87
9 Sb 0.9904 0.7427 0.4350  2 Zn 2.77-2.78, 1 Sb 2.87
10 Sb 0.9920 0.2567 0.4335  2 Zn 2.77-2.79, 1 Sb 2.87

Results
- E_form (uncorrected) (eV per atom) = -0.1275
- energy above the lowest structure with this stoichiometry (meV/atom) = 0

***

(8)
Density functional theory data (GGA-PBE) for an optimized crystal structure of ScGaSn2.

Lattice parameters (Å, degrees): 4.4416 4.4416 4.5592 90.00 90.00 90.00
Closest atoms and distances in Å follow each position.
Positions (direct):
1 Sc 0.0000 0.0000 0.0000  4 Ga 3.14, 8 Sn 3.18
2 Ga 0.5000 0.5000 0.0000  4 Sc 3.14, 8 Sn 3.18
3 Sn 0.0000 0.5000 0.5000  4 Sn 3.14, 4 Sc 3.18, 4 Ga 3.18
4 Sn 0.5000 0.0000 0.5000  4 Sn 3.14, 4 Sc 3.18, 4 Ga 3.18

Results
- ΔE_f (meV/atom) = -324

***

(9)
Density functional theory data (GGA-PBE) for an optimized crystal structure of PdBrN2F.

Lattice parameters (Å, degrees): 4.0665 4.0665 4.1103 90.00 90.00 90.00
Closest atoms and distances in Å follow each position.
Positions (direct):
1 Pd 0.0000 0.0000 0.0000  4 F 2.88, 8 N 2.89
2 Br 0.5000 0.5000 0.5000  4 N 2.03, 2 F 2.06
3 N 0.0000 0.5000 0.5000  2 Br 2.03
4 N 0.5000 0.0000 0.5000  2 Br 2.03
5 F 0.5000 0.5000 0.0000  2 Br 2.06

Results
- E_form (uncorrected) (eV per atom) = 1.9103
- energy above the lowest structure with this stoichiometry (meV/atom) = 696

***

(10)
Density functional theory data (GGA-PBE) for an optimized crystal structure of HoMg4Sn2.

Lattice parameters (Å, degrees): 8.6473 8.6473 4.5714 90.00 90.00 90.00
Closest atoms and distances in Å follow each position.
Positions (direct):
1 Ho 0.0000 0.0000 0.0000  4 Sn 3.27, 4 Mg 3.66
2 Ho 0.5000 0.5000 0.5000  4 Sn 3.27, 4 Mg 3.66
3 Mg 0.1021 0.3555 0.5000  3 Sn 2.91-2.93, 6 Mg 3.06-3.15
4 Mg 0.1445 0.6021 0.0000  3 Sn 2.91-2.93, 6 Mg 3.06-3.15
5 Mg 0.3555 0.1021 0.5000  3 Sn 2.91-2.93, 6 Mg 3.06-3.15
6 Mg 0.3979 0.8555 0.0000  3 Sn 2.91-2.93, 6 Mg 3.06-3.15
7 Mg 0.6021 0.1445 0.0000  3 Sn 2.91-2.93, 6 Mg 3.06-3.15
8 Mg 0.6445 0.8979 0.5000  3 Sn 2.91-2.93, 6 Mg 3.06-3.15
9 Mg 0.8555 0.3979 0.0000  3 Sn 2.91-2.93, 6 Mg 3.06-3.15
10 Mg 0.8979 0.6445 0.5000  3 Sn 2.91-2.93, 6 Mg 3.06-3.15
11 Sn 0.1918 0.8082 0.5000  6 Mg 2.91-2.93
12 Sn 0.3082 0.3082 0.0000  6 Mg 2.91-2.93
13 Sn 0.6918 0.6918 0.0000  6 Mg 2.91-2.93
14 Sn 0.8082 0.1918 0.5000  6 Mg 2.91-2.93

Results
- ΔE_f (meV/atom) = -250

***

(11)
Density functional theory data (GGA-PBE) for an optimized crystal structure of IrPtSe2.

Lattice parameters (Å, degrees): 4.5905 4.5905 4.5905 60.00 60.00 60.00
Closest atoms and distances in Å follow each position.
Positions (direct):
1 Ir 0.0000 0.0000 0.0000  4 Se 2.81, 4 Pt 2.81
2 Pt 0.2500 0.2500 0.2500  4 Se 2.81, 4 Ir 2.81
3 Se 0.5000 0.5000 0.5000  4 Se 2.81, 4 Pt 2.81
4 Se 0.7500 0.7500 0.7500  4 Se 2.81, 4 Ir 2.81

Results
- E_form (uncorrected) (eV per atom) = 0.7029

***

(12)
Density functional theory data (GGA-PBE) for an optimized crystal structure of MnZnIN2.

Lattice parameters (Å, degrees): 3.7860 3.7860 5.9591 90.00 90.00 90.00
Closest atoms and distances in Å follow each position.
Positions (direct):
1 Mn 0.0000 0.0000 0.0000  4 I 2.68
2 Zn 0.5000 0.5000 0.5000  4 N 1.89
3 I 0.5000 0.5000 0.0000  4 Mn 2.68, 2 Zn 2.98
4 N 0.0000 0.5000 0.5000  2 Zn 1.89
5 N 0.5000 0.0000 0.5000  2 Zn 1.89

Results
- E_form (uncorrected) (eV per atom) = 1.9965
- energy above the lowest structure with this stoichiometry (meV/atom) = 1233

***

(13)
Density functional theory data (GGA-PBE) for an optimized crystal structure of TaZn2In.

Lattice parameters (Å, degrees): 4.6770 4.6770 4.6770 60.00 60.00 60.00
Closest atoms and distances in Å follow each position.
Positions (direct):
1 Ta 0.0000 0.0000 0.0000  4 Zn 2.86, 4 In 2.86
2 Zn 0.5000 0.5000 0.5000  4 In 2.86, 4 Zn 2.86
3 Zn 0.7500 0.7500 0.7500  4 Ta 2.86, 4 Zn 2.86
4 In 0.2500 0.2500 0.2500  4 Ta 2.86, 4 Zn 2.86

Results
- ΔE_f (meV/atom) = 521